[1]
HoAl10Re2 (SCAN, single point on PBEsol structure); total energy = -21.07 eV per atom; symmetry = Cmcm (63)
1.0
4.612 -5.134 0.000
4.612 5.134 0.000
0.000 0.000 26.777
Ho Al Re
6 60 12
Cartesian
4.612 3.919 20.083 Ho
4.612 1.283 15.658 Ho
4.612 1.283 24.508 Ho
4.612 -1.283 2.269 Ho
4.612 -1.283 11.120 Ho
4.612 -3.919 6.694 Ho
2.585 2.591 17.966 Al
2.585 2.591 22.201 Al
1.395 1.253 15.557 Al
1.395 1.253 24.609 Al
4.612 4.150 16.961 Al
4.612 4.150 23.206 Al
1.953 1.137 20.083 Al
2.291 1.318 2.224 Al
2.291 1.318 11.165 Al
4.612 3.877 13.981 Al
4.612 3.877 26.185 Al
4.612 3.803 4.784 Al
4.612 3.803 8.605 Al
3.231 1.166 6.694 Al
1.395 -1.253 2.169 Al
1.395 -1.253 11.220 Al
2.714 0.000 0.000 Al
2.714 0.000 13.389 Al
1.953 -1.137 6.694 Al
4.612 1.695 0.907 Al
4.612 1.695 12.481 Al
4.612 1.283 3.894 Al
4.612 1.283 9.495 Al
2.291 -1.318 15.612 Al
2.291 -1.318 24.554 Al
4.612 0.946 18.737 Al
4.612 0.946 21.429 Al
3.231 -1.166 20.083 Al
6.639 2.591 17.966 Al
6.639 2.591 22.201 Al
2.585 -2.591 4.577 Al
2.585 -2.591 8.812 Al
5.994 1.166 6.694 Al
4.612 -0.946 5.348 Al
4.612 -0.946 8.041 Al
6.933 1.318 2.224 Al
6.933 1.318 11.165 Al
4.612 -1.283 17.283 Al
4.612 -1.283 22.883 Al
4.612 -1.695 14.296 Al
4.612 -1.695 25.870 Al
7.271 1.137 20.083 Al
6.510 0.000 0.000 Al
6.510 0.000 13.389 Al
7.829 1.253 15.557 Al
7.829 1.253 24.609 Al
5.994 -1.166 20.083 Al
4.612 -3.803 18.173 Al
4.612 -3.803 21.993 Al
4.612 -3.877 0.592 Al
4.612 -3.877 12.797 Al
6.933 -1.318 15.612 Al
6.933 -1.318 24.554 Al
7.271 -1.137 6.694 Al
4.612 -4.150 3.572 Al
4.612 -4.150 9.817 Al
7.829 -1.253 2.169 Al
7.829 -1.253 11.220 Al
6.639 -2.591 4.577 Al
6.639 -2.591 8.812 Al
2.306 2.567 0.000 Re
2.306 2.567 13.389 Re
2.287 0.027 17.760 Re
2.287 0.027 22.406 Re
2.287 -0.027 4.371 Re
2.287 -0.027 9.017 Re
2.306 -2.567 0.000 Re
2.306 -2.567 13.389 Re
6.937 0.027 17.760 Re
6.937 0.027 22.406 Re
6.937 -0.027 4.371 Re
6.937 -0.027 9.017 Re

[2]
BeTlSb3 (SCAN, single point on PBEsol structure); total energy = -36.18 eV per atom; symmetry = Pm-3m (221); raw formation energy = 1.520 eV/atom
1.0
5.587 0.000 0.000
0.000 5.587 0.000
0.000 0.000 5.587
Be Tl Sb
1 1 3
Cartesian
0.000 0.000 0.000 Be
2.793 2.793 2.793 Tl
0.000 2.793 2.793 Sb
2.793 0.000 2.793 Sb
2.793 2.793 0.000 Sb

[3]
BeTc4Mo (SCAN, single point on PBEsol structure); total energy = -29.60 eV per atom; symmetry = F-43m (216)
1.0
0.000 3.520 3.520
3.520 0.000 3.520
3.520 3.520 0.000
Be Tc Mo
1 4 1
Cartesian
0.000 0.000 0.000 Be
2.634 2.634 2.634 Tc
4.407 4.407 2.634 Tc
4.407 2.634 4.407 Tc
2.634 4.407 4.407 Tc
5.280 5.280 5.280 Mo

[4]
KMoNO2 (SCAN, single point on PBEsol structure); total energy = -11.09 eV per atom; symmetry = P4/mmm (123); raw formation energy = 1.905 eV/atom
1.0
4.103 0.000 0.000
0.000 4.103 0.000
0.000 0.000 4.130
K Mo N O
1 1 1 2
Cartesian
0.000 0.000 0.000 K
2.051 2.051 2.065 Mo
0.000 0.000 2.065 N
0.000 2.051 0.000 O
2.051 0.000 0.000 O

[5]
ScRhAu2 (SCAN, single point on PBEsol structure); total energy = -47.34 eV per atom; symmetry = I4/mmm (139)
1.0
3.891 0.000 0.000
0.000 3.891 0.000
0.000 0.000 8.551
Sc Rh Au
2 2 4
Cartesian
0.000 0.000 0.000 Sc
1.946 1.946 4.275 Sc
0.000 0.000 4.275 Rh
1.946 1.946 0.000 Rh
0.000 1.946 2.138 Au
0.000 1.946 6.413 Au
1.946 0.000 2.138 Au
1.946 0.000 6.413 Au

[6]
CaTl2In (SCAN, single point on PBEsol structure); total energy = -47.21 eV per atom; symmetry = P4mm (99)
1.0
3.904 0.000 0.000
0.000 3.904 0.000
0.000 0.000 7.139
Ca Tl In
1 2 1
Cartesian
0.000 0.000 0.000 Ca
0.000 0.000 3.528 Tl
1.952 1.952 5.273 Tl
1.952 1.952 1.896 In

[7]
FeSiOs2 (SCAN, single point on PBEsol structure); total energy = -43.18 eV per atom; symmetry = P4/mmm (123); raw formation energy = -0.208 eV/atom
1.0
2.909 0.000 0.000
0.000 2.909 0.000
0.000 0.000 5.964
Fe Si Os
1 1 2
Cartesian
0.000 0.000 0.000 Fe
0.000 0.000 2.982 Si
1.454 1.454 1.566 Os
1.454 1.454 4.398 Os

[8]
TiBeHSe2 (SCAN, single point on PBEsol structure); total energy = -12.73 eV per atom; symmetry = P4/mmm (123)
1.0
4.500 0.000 0.000
0.000 4.500 0.000
0.000 0.000 3.304
Ti Be H Se
1 1 1 2
Cartesian
0.000 0.000 0.000 Ti
2.250 2.250 0.000 Be
0.000 0.000 1.652 H
0.000 2.250 1.652 Se
2.250 0.000 1.652 Se

no.,total magnetization (μB/f.u.)
1,0.000
2,0.000
3,0.000
4,0.046
5,0.000
6,0.000
7,3.598
8,0.000